No. 1
DFT (PBEsol) results for crystalline YRh2Cl at its relaxed geometry.

```
4
Lattice="4.936 -1.578 0.000 4.936 1.578 0.000 -0.236 0.000 4.370" Properties=species:S:1:pos:R:3 pbc="T T T"
Y 0.000 0.000 0.000
Rh 2.544 0.000 3.343
Rh 7.092 0.000 1.027
Cl 4.818 0.000 2.185
```

Calculated values
uncorrected formation energy = -0.457 eV per atom
offset from the most stable computed form = 0 meV per atom
Fermi-level density of states = 3.6 states/eV per cell
VASP energy = -26.9 eV for the cell shown

***

No. 2
DFT (PBEsol) results for crystalline ZnRhCl2 at its relaxed geometry.

```
4
Lattice="1.708 0.986 8.619 -1.708 0.986 8.619 0.000 -1.972 8.619" Properties=species:S:1:pos:R:3 pbc="T T T"
Zn 0.000 0.000 0.000
Rh 0.000 0.000 12.928
Cl 0.000 0.000 2.912
Cl 0.000 0.000 22.944
```

Calculated values
uncorrected formation energy = 0.081 eV per atom
Fermi-level density of states = 3.1 states/eV per cell
VASP energy = -13.4 eV for the cell shown

***

No. 3
DFT (PBEsol) results for crystalline ZnRh2Cl at its relaxed geometry.

```
4
Lattice="0.000 3.089 3.089 3.089 0.000 3.089 3.089 3.089 0.000" Properties=species:S:1:pos:R:3 pbc="T T T"
Zn 0.000 0.000 0.000
Rh 3.089 3.089 3.089
Rh 4.633 4.633 4.633
Cl 1.544 1.544 1.544
```

Calculated values
uncorrected formation energy = 0.479 eV per atom
offset from the most stable computed form = 290 meV per atom
Fermi-level density of states = 3.9 states/eV per cell
VASP energy = -17.9 eV for the cell shown

***

No. 4
DFT (PBEsol) results for crystalline ZnRh2Cl at its relaxed geometry.

```
4
Lattice="1.419 -2.480 0.000 1.419 2.480 0.000 0.000 0.000 8.289" Properties=species:S:1:pos:R:3 pbc="T T T"
Zn 0.000 0.000 0.000
Rh 0.000 0.000 4.099
Rh 1.419 0.000 6.241
Cl 1.419 0.000 2.047
```

Calculated values
uncorrected formation energy = 0.189 eV per atom
offset from the most stable computed form = 0 meV per atom
Fermi-level density of states = 3.7 states/eV per cell
VASP energy = -19.1 eV for the cell shown

***

No. 5
DFT (PBEsol) results for crystalline Zn2RhCl at its relaxed geometry.

```
4
Lattice="-1.486 1.996 5.712 1.486 -1.996 5.712 1.486 1.996 -5.712" Properties=species:S:1:pos:R:3 pbc="T T T"
Zn 0.000 0.000 0.000
Zn 0.000 1.996 1.738
Rh 1.486 0.000 2.016
Cl 0.000 0.000 4.203
```

Calculated values
uncorrected formation energy = -0.138 eV per atom
offset from the most stable computed form = 220 meV per atom
Fermi-level density of states = 1.3 states/eV per cell
VASP energy = -13.9 eV for the cell shown

***

No. 6
DFT (PBEsol) results for crystalline ZnRh2Cl at its relaxed geometry.

```
4
Lattice="-2.138 2.138 3.045 2.138 -2.138 3.045 2.138 2.138 -3.045" Properties=species:S:1:pos:R:3 pbc="T T T"
Zn 0.000 0.000 0.000
Rh 2.138 0.000 1.522
Rh 0.000 2.138 1.522
Cl 0.000 0.000 3.045
```

Calculated values
uncorrected formation energy = 0.404 eV per atom
offset from the most stable computed form = 214 meV per atom
Fermi-level density of states = 5.8 states/eV per cell
VASP energy = -18.3 eV for the cell shown

***

No. 7
DFT (PBEsol) results for crystalline Zn2RhCl at its relaxed geometry.

```
4
Lattice="3.022 0.000 0.000 0.000 3.022 0.000 0.000 0.000 6.770" Properties=species:S:1:pos:R:3 pbc="T T T"
Zn 0.000 0.000 1.431
Zn 0.000 0.000 5.340
Rh 1.511 1.511 0.000
Cl 1.511 1.511 3.385
```

Calculated values
uncorrected formation energy = -0.270 eV per atom
offset from the most stable computed form = 87 meV per atom
Fermi-level density of states = 0.8 states/eV per cell
VASP energy = -14.4 eV for the cell shown

***

No. 8
DFT (PBEsol) results for crystalline Zn2RhCl at its relaxed geometry.

```
4
Lattice="3.026 0.000 0.000 0.000 3.040 0.000 0.000 0.000 6.924" Properties=species:S:1:pos:R:3 pbc="T T T"
Zn 0.000 0.000 1.433
Zn 0.000 0.000 5.491
Rh 1.513 1.520 0.000
Cl 1.513 0.000 3.462
```

Calculated values
uncorrected formation energy = -0.358 eV per atom
offset from the most stable computed form = 0 meV per atom
Fermi-level density of states = 0.9 states/eV per cell
VASP energy = -14.7 eV for the cell shown

***

No. 9
DFT (PBEsol) results for crystalline ZrRhCl2 at its relaxed geometry.

```
4
Lattice="3.371 0.000 0.000 0.000 3.371 0.000 0.000 0.000 7.054" Properties=species:S:1:pos:R:3 pbc="T T T"
Zr 0.000 0.000 0.000
Rh 1.686 1.686 5.899
Cl 0.000 0.000 4.518
Cl 1.686 1.686 1.743
```

Calculated values
uncorrected formation energy = -0.785 eV per atom
offset from the most stable computed form = 0 meV per atom
Fermi-level density of states = 2.3 states/eV per cell
VASP energy = -24.4 eV for the cell shown

***

No. 10
DFT (PBEsol) results for crystalline ZrRhCl2 at its relaxed geometry.

```
4
Lattice="1.567 0.905 8.183 -1.567 0.905 8.183 0.000 -1.809 8.183" Properties=species:S:1:pos:R:3 pbc="T T T"
Zr 0.000 0.000 0.000
Rh 0.000 0.000 12.274
Cl 0.000 0.000 10.013
Cl 0.000 0.000 14.536
```

Calculated values
uncorrected formation energy = -0.631 eV per atom
offset from the most stable computed form = 153 meV per atom
Fermi-level density of states = 2.5 states/eV per cell
VASP energy = -23.8 eV for the cell shown

***

No. 11
DFT (PBEsol) results for crystalline ZrRhCl2 at its relaxed geometry.

```
4
Lattice="4.157 0.000 0.000 0.000 4.157 0.000 0.000 0.000 3.663" Properties=species:S:1:pos:R:3 pbc="T T T"
Zr 0.000 0.000 0.000
Rh 2.078 2.078 0.000
Cl 0.000 2.078 1.832
Cl 2.078 0.000 1.832
```

Calculated values
uncorrected formation energy = -0.312 eV per atom
offset from the most stable computed form = 473 meV per atom
Fermi-level density of states = 2.4 states/eV per cell
VASP energy = -22.5 eV for the cell shown

***

No. 12
DFT (PBEsol) results for crystalline ZrRhCl at its relaxed geometry.

```
3
Lattice="3.453 0.000 0.000 -1.727 2.990 0.000 0.000 0.000 5.903" Properties=species:S:1:pos:R:3 pbc="T T T"
Zr 0.000 0.000 0.000
Rh 1.727 0.997 1.523
Cl 0.000 1.994 4.017
```

Calculated values
uncorrected formation energy = -0.717 eV per atom
Fermi-level density of states = 1.4 states/eV per cell
VASP energy = -21.4 eV for the cell shown

***

No. 13
DFT (PBEsol) results for crystalline Ru2Cl at its relaxed geometry.

```
6
Lattice="2.016 -9.444 0.000 2.016 9.444 0.000 0.000 0.000 2.834" Properties=species:S:1:pos:R:3 pbc="T T T"
Ru 2.016 6.547 2.126
Ru 2.016 4.469 0.709
Ru 2.016 -4.469 2.126
Ru 2.016 -6.547 0.709
Cl 2.016 1.610 2.126
Cl 2.016 -1.610 0.709
```

Calculated values
uncorrected formation energy = 0.527 eV per atom
offset from the most stable computed form = 0 meV per atom
Fermi-level density of states = 6.0 states/eV per cell
VASP energy = -41.5 eV for the cell shown

***

No. 14
DFT (PBEsol) results for crystalline RuCl5 at its relaxed geometry.

```
6
Lattice="2.869 0.000 0.000 0.000 2.869 0.000 0.000 0.000 15.147" Properties=species:S:1:pos:R:3 pbc="T T T"
Ru 0.000 0.000 0.000
Cl 0.000 0.000 4.235
Cl 0.000 0.000 10.912
Cl 1.435 1.435 1.462
Cl 1.435 1.435 7.573
Cl 1.435 1.435 13.685
```

Calculated values
uncorrected formation energy = 0.430 eV per atom
Fermi-level density of states = 5.3 states/eV per cell
VASP energy = -17.6 eV for the cell shown

***

No. 15
DFT (PBEsol) results for crystalline RuCl at its relaxed geometry.

```
4
Lattice="2.928 0.000 0.000 -1.464 2.536 0.000 0.000 0.000 8.082" Properties=species:S:1:pos:R:3 pbc="T T T"
Ru 0.000 1.691 0.000
Ru 1.464 0.845 4.041
Cl 0.000 1.691 2.204
Cl 1.464 0.845 6.245
```

Calculated values
uncorrected formation energy = 0.533 eV per atom
offset from the most stable computed form = 0 meV per atom
Fermi-level density of states = 5.3 states/eV per cell
VASP energy = -22.2 eV for the cell shown

***

No. 16
DFT (PBEsol) results for crystalline Ru3Cl4 at its relaxed geometry.

```
7
Lattice="5.383 0.000 0.000 -2.691 4.661 0.000 0.000 0.000 4.775" Properties=species:S:1:pos:R:3 pbc="T T T"
Ru -1.346 2.331 0.000
Ru 2.691 0.000 0.000
Ru 1.346 2.331 0.000
Cl 0.000 0.000 1.206
Cl 0.000 0.000 3.569
Cl 0.000 3.108 2.388
Cl 2.691 1.554 2.388
```

Calculated values
uncorrected formation energy = 0.988 eV per atom
Fermi-level density of states = 7.1 states/eV per cell
VASP energy = -31.6 eV for the cell shown

***

No. 17
DFT (PBEsol) results for crystalline Ru2Cl at its relaxed geometry.

```
6
Lattice="3.971 0.000 0.000 -1.985 3.439 0.000 0.000 0.000 6.056" Properties=species:S:1:pos:R:3 pbc="T T T"
Ru 0.000 0.000 0.000
Ru 0.000 0.000 3.028
Ru 0.000 2.292 1.514
Ru 1.985 1.146 4.542
Cl 0.000 2.292 4.542
Cl 1.985 1.146 1.514
```

Calculated values
uncorrected formation energy = 1.067 eV per atom
offset from the most stable computed form = 541 meV per atom
Fermi-level density of states = 4.3 states/eV per cell
VASP energy = -38.3 eV for the cell shown

***

No. 18
DFT (PBEsol) results for crystalline RuCl2 at its relaxed geometry.

```
3
Lattice="4.224 0.000 0.000 0.000 4.224 0.000 0.000 0.000 2.887" Properties=species:S:1:pos:R:3 pbc="T T T"
Ru 0.000 0.000 0.000
Cl 0.000 2.112 1.443
Cl 2.112 0.000 1.443
```

Calculated values
uncorrected formation energy = 0.257 eV per atom
Fermi-level density of states = 3.2 states/eV per cell
VASP energy = -13.4 eV for the cell shown

***

No. 19
DFT (PBEsol) results for crystalline RuCl at its relaxed geometry.

```
4
Lattice="0.000 3.091 3.091 3.091 0.000 3.091 3.091 3.091 0.000" Properties=species:S:1:pos:R:3 pbc="T T T"
Ru 0.773 0.773 0.773
Ru 5.409 5.409 5.409
Cl 2.318 2.318 2.318
Cl 3.864 3.864 3.864
```

Calculated values
uncorrected formation energy = 0.954 eV per atom
offset from the most stable computed form = 421 meV per atom
Fermi-level density of states = 5.2 states/eV per cell
VASP energy = -20.5 eV for the cell shown

***

No. 20
DFT (PBEsol) results for crystalline RuS4Cl12 at its relaxed geometry.

```
68
Lattice="10.243 0.000 0.000 0.000 12.249 0.000 -3.946 0.000 14.250" Properties=species:S:1:pos:R:3 pbc="T T T"
Ru 0.707 2.774 4.295
Ru -1.266 3.350 11.420
Ru 7.563 8.899 2.830
Ru 5.590 9.475 9.954
S -2.499 8.887 10.345
S -0.527 9.487 3.220
S 0.623 0.819 3.250
S -1.350 5.306 10.374
S -0.658 2.300 9.587
S 1.315 3.824 2.462
S 2.966 1.027 6.952
S 0.993 5.097 14.076
S 5.304 7.152 0.173
S 3.331 11.222 7.298
S 4.982 8.425 11.788
S 6.955 9.949 4.663
S 7.647 6.943 3.875
S 5.674 11.430 11.000
S 6.824 2.762 11.030
S 8.797 3.362 3.905
Cl -2.025 0.830 9.040
Cl -0.052 5.294 1.915
Cl 0.638 9.002 1.619
Cl -1.335 9.372 8.744
Cl 0.988 0.984 1.232
Cl -0.985 5.140 8.357
Cl 0.312 8.212 4.614
Cl -1.661 10.162 11.739
Cl -1.677 1.361 12.662
Cl 0.296 4.764 5.537
Cl 0.213 1.333 6.139
Cl -1.759 4.792 13.264
Cl 0.265 6.560 10.853
Cl 2.238 11.814 3.729
Cl -0.585 7.651 14.246
Cl 1.388 10.723 7.121
Cl 0.998 1.061 9.985
Cl 2.971 5.064 2.860
Cl 2.916 2.650 5.069
Cl 0.943 3.475 12.194
Cl 3.167 6.996 6.045
Cl 1.194 11.378 13.170
Cl 4.349 2.568 1.842
Cl 2.377 3.556 8.967
Cl 3.921 8.693 5.283
Cl 1.948 9.681 12.408
Cl 5.103 0.871 1.080
Cl 3.130 5.254 8.205
Cl 5.354 8.774 2.056
Cl 3.381 9.600 9.181
Cl 3.327 7.186 11.390
Cl 5.300 11.188 4.265
Cl 4.909 1.526 7.129
Cl 6.882 4.598 0.004
Cl 4.059 0.435 10.521
Cl 6.032 5.689 3.396
Cl 8.057 7.457 0.986
Cl 6.084 10.916 8.110
Cl 6.001 7.485 8.713
Cl 7.974 10.889 1.588
Cl 7.959 2.087 2.511
Cl 5.986 4.037 9.636
Cl 7.282 7.109 5.892
Cl 5.309 11.265 13.017
Cl 7.632 2.877 5.506
Cl 5.659 3.247 12.631
Cl 6.350 6.955 12.335
Cl 8.323 11.419 5.210
```

Calculated values
uncorrected formation energy = -0.248 eV per atom
VASP energy = -224.1 eV for the cell shown